(1)
Below is a relaxed structure of GaSnP2O, with properties calculated at the GGA-PBE level.

POSCAR file:
```
GaSnP2O
1.0
-2.814 1.676 -4.022
0.274 -4.711 -2.155
-3.280 -1.042 1.861
Ga O P Sn
1 1 2 1
Direct
0.500 0.500 0.500
0.000 0.000 0.500
0.000 0.500 0.000
0.500 0.000 0.000
0.000 0.000 0.000
```

## Properties
For the total magnetization, the calculation gives 0.0 μB/f.u. The value obtained for the density of states at the Fermi level is 3.66 states/eV/f.u. Its total energy is -4.163 eV per atom. The value obtained for the formation energy without anion corrections is 0.399 eV/atom. For the energy above the most stable polymorph in this dataset, the calculation gives 271 meV/atom.

(2)
Below is a relaxed structure of NaAcSiSe4, with properties calculated at the GGA-PBE level.

POSCAR file:
```
NaAcSiSe4
1.0
6.982 0.000 0.247
0.000 6.996 0.000
-2.433 0.000 8.348
Si Ac Se Na
2 2 8 2
Direct
0.773 0.250 0.702
0.227 0.750 0.298
0.768 0.750 0.446
0.232 0.250 0.554
0.567 0.250 0.864
0.012 0.004 0.251
0.988 0.996 0.749
0.433 0.750 0.136
0.623 0.250 0.434
0.988 0.504 0.749
0.377 0.750 0.566
0.012 0.496 0.251
0.219 0.250 0.041
0.781 0.750 0.959
```

## Properties
For the total magnetization, the calculation gives 0.0 μB/f.u. The value obtained for the density of states at the Fermi level is 0.00 states/eV/f.u. Its total energy is -4.762 eV per atom. The value obtained for the formation energy without anion corrections is -1.221 eV/atom.

(3)
Below is a relaxed structure of Ac12Sn2Ge5, with properties calculated at the GGA-PBE level.

POSCAR file:
```
Ac12Sn2Ge5
1.0
-3.792 -1.793 6.608
8.576 -5.212 -1.128
3.074 9.079 4.227
Ge Ac Sn
5 12 2
Direct
0.676 0.351 0.819
0.000 0.000 0.500
0.699 0.397 0.361
0.301 0.603 0.639
0.324 0.649 0.181
0.908 0.300 0.559
0.082 0.635 0.895
0.961 0.922 0.190
0.039 0.078 0.810
0.092 0.700 0.441
0.553 0.635 0.895
0.495 0.990 0.715
0.918 0.365 0.105
0.505 0.010 0.285
0.392 0.300 0.559
0.608 0.700 0.441
0.447 0.365 0.105
0.306 0.000 0.000
0.694 0.000 0.000
```

## Properties
For the total magnetization, the calculation gives 0.0 μB/f.u. The value obtained for the density of states at the Fermi level is 20.53 states/eV/f.u. Its total energy is -4.619 eV per atom. The energy of formation comes out at -388 meV/atom.

(4)
Below is a relaxed structure of Mg3Si23, with properties calculated at the GGA-PBE level.

POSCAR file:
```
Mg3Si23
1.0
-1.927 -7.936 -6.127
8.711 -4.415 2.978
-4.964 -4.665 7.604
Si Mg
46 6
Direct
0.383 0.809 0.500
0.500 0.383 0.809
0.883 0.000 0.691
0.500 0.383 0.191
0.250 0.000 0.500
0.684 0.316 0.316
0.309 0.117 0.000
0.617 0.809 0.500
0.684 0.316 0.684
0.000 0.691 0.117
0.816 0.184 0.184
0.883 0.000 0.309
0.691 0.117 0.000
0.691 0.883 0.000
0.500 0.750 0.000
0.816 0.184 0.816
0.750 0.000 0.500
0.000 0.309 0.117
0.684 0.684 0.316
0.191 0.500 0.617
0.000 0.691 0.883
0.816 0.816 0.184
0.184 0.816 0.816
0.316 0.684 0.316
0.117 0.000 0.309
0.000 0.500 0.750
0.117 0.000 0.691
0.191 0.500 0.383
0.184 0.816 0.184
0.316 0.684 0.684
0.500 0.250 0.000
0.500 0.617 0.809
0.816 0.816 0.816
0.184 0.184 0.184
0.617 0.191 0.500
0.383 0.191 0.500
0.000 0.309 0.883
0.316 0.316 0.316
0.684 0.684 0.684
0.809 0.500 0.383
0.809 0.500 0.617
0.309 0.883 0.000
0.316 0.316 0.684
0.500 0.617 0.191
0.000 0.500 0.250
0.184 0.184 0.816
0.000 0.750 0.500
0.250 0.500 0.000
0.750 0.500 0.000
0.500 0.000 0.250
0.000 0.250 0.500
0.500 0.000 0.750
```

## Properties
For the total magnetization, the calculation gives 0.0 μB/f.u. The value obtained for the density of states at the Fermi level is 7.43 states/eV/f.u. Its total energy is -4.881 eV per atom. The value obtained for the formation energy without anion corrections is 0.101 eV/atom.

(5)
Below is a relaxed structure of TaMnCu2, with properties calculated at the GGA-PBE level.

POSCAR file:
```
TaMnCu2
1.0
3.126 0.000 0.000
0.000 3.126 0.000
0.000 0.000 5.498
Cu Ta Mn
2 1 1
Direct
0.500 0.500 0.239
0.000 0.000 0.025
0.500 0.500 0.733
0.000 0.000 0.503
```

## Properties
For the total magnetization, the calculation gives 0.0 μB/f.u. The value obtained for the density of states at the Fermi level is 1.85 states/eV/f.u. Its total energy is -7.188 eV per atom. For the energy above the most stable polymorph in this dataset, the calculation gives 26 meV/atom. The energy of formation comes out at 116 meV/atom.

(6)
Below is a relaxed structure of YInBr2, with properties calculated at the GGA-PBE level.

POSCAR file:
```
YInBr2
1.0
6.591 0.001 0.000
3.739 5.427 0.000
-5.165 -2.714 3.065
Br In Y
2 1 1
Direct
0.250 0.750 0.500
0.000 0.000 0.000
0.500 0.500 0.000
0.750 0.250 0.500
```

## Properties
For the total magnetization, the calculation gives 0.0 μB/f.u. The value obtained for the density of states at the Fermi level is 1.70 states/eV/f.u. Its total energy is -3.810 eV per atom. The value obtained for the formation energy without anion corrections is -0.673 eV/atom. For the energy above the most stable polymorph in this dataset, the calculation gives 366 meV/atom.

(7)
Below is a relaxed structure of LaNpTcC3, with properties calculated at the GGA-PBE level.

POSCAR file:
```
LaNpTcC3
1.0
-0.309 -2.967 -2.094
5.442 2.527 -4.382
4.462 -4.059 5.090
C La Np Tc
6 2 2 2
Direct
0.750 0.166 0.523
0.750 0.863 0.151
0.250 0.570 0.881
0.250 0.834 0.477
0.750 0.430 0.119
0.250 0.137 0.849
0.750 0.830 0.818
0.250 0.170 0.182
0.250 0.638 0.163
0.750 0.362 0.837
0.750 0.902 0.401
0.250 0.098 0.599
```

## Properties
For the total magnetization, the calculation gives 2.2 μB/f.u. The value obtained for the density of states at the Fermi level is 9.13 states/eV/f.u. Its total energy is -9.115 eV per atom. The energy of formation comes out at 203 meV/atom.

(8)
Below is a relaxed structure of CuSbSe2, with properties calculated at the GGA-PBE level.

POSCAR file:
```
CuSbSe2
1.0
-2.366 -1.901 -1.354
2.576 -0.706 -3.511
2.249 -4.637 2.582
Cu Se Sb
1 2 1
Direct
0.500 0.000 0.500
0.500 0.500 0.000
0.000 0.000 0.000
0.000 0.500 0.500
```

## Properties
For the total magnetization, the calculation gives 0.0 μB/f.u. The value obtained for the density of states at the Fermi level is 2.49 states/eV/f.u. Its total energy is -3.424 eV per atom. The value obtained for the formation energy without anion corrections is 0.373 eV/atom.